(P)
Compound: MoAsOsSe2
Source: Alexandria via LeMat-Bulk
Functional: PBE
Structure: relaxed

Cell: 5.0382 5.0382 4.5749 Å, 90.00 90.00 90.00°
Last column: nearest neighbours and their distance in Å.
Space group P4/mmm (No. 123)
Symmetry-distinct sites (fractional):
Mo 0.0000 0.0000 0.0000 [1 per cell]  8 Se 3.40, 4 As 3.56
As 0.5000 0.5000 0.0000 [1 per cell]  2 Os 2.29
Os 0.5000 0.5000 0.5000 [1 per cell]  2 As 2.29, 4 Se 2.52
Se 0.0000 0.5000 0.5000 [2 per cell]  2 Os 2.52


(Q)
Compound: MoAsOsSe2
Source: Alexandria via LeMat-Bulk
Functional: PBE
Structure: relaxed

Cell: 4.8131 4.8131 4.9717 Å, 90.00 90.00 90.00°
Last column: nearest neighbours and their distance in Å.
Space group P4/mmm (No. 123)
Symmetry-distinct sites (fractional):
Mo 0.0000 0.0000 0.0000 [1 per cell]  4 Se 2.41, 2 As 2.49
As 0.0000 0.0000 0.5000 [1 per cell]  2 Mo 2.49
Os 0.5000 0.5000 0.5000 [1 per cell]  4 As 3.40, 8 Se 3.46
Se 0.0000 0.5000 0.0000 [2 per cell]  2 Mo 2.41


Of them, the most stable is (P) and the least stable is (Q).


(P)
Compound: MoAs2OsSe
Source: Alexandria via LeMat-Bulk
Functional: PBE
Structure: relaxed

Cell: 4.8698 4.8698 4.7552 Å, 90.00 90.00 90.00°
Last column: nearest neighbours and their distance in Å.
Space group P4/mmm (No. 123)
Symmetry-distinct sites (fractional):
Mo 0.0000 0.0000 0.0000 [1 per cell]  2 Se 2.38, 4 As 2.43
As 0.0000 0.5000 0.0000 [2 per cell]  2 Mo 2.43
Os 0.5000 0.5000 0.5000 [1 per cell]  8 As 3.40, 4 Se 3.44
Se 0.0000 0.0000 0.5000 [1 per cell]  2 Mo 2.38


(Q)
Compound: MoAs2OsSe
Source: Alexandria via LeMat-Bulk
Functional: PBE
Structure: relaxed

Cell: 4.6371 4.6371 5.4036 Å, 90.00 90.00 90.00°
Last column: nearest neighbours and their distance in Å.
Space group P4/mmm (No. 123)
Symmetry-distinct sites (fractional):
Mo 0.0000 0.0000 0.0000 [1 per cell]  4 Se 3.28, 8 As 3.56
As 0.0000 0.5000 0.5000 [2 per cell]  2 Os 2.32
Os 0.5000 0.5000 0.5000 [1 per cell]  4 As 2.32
Se 0.5000 0.5000 0.0000 [1 per cell]  2 Os 2.70


Of them, the most stable is (Q) and the least stable is (P).


(P)
Compound: MoAsP
Source: Alexandria via LeMat-Bulk
Functional: PBE
Structure: relaxed

Cell: 3.1920 3.1920 5.5009 Å, 90.00 90.00 120.00°
Last column: nearest neighbours and their distance in Å.
Space group P3m1 (No. 156)
Symmetry-distinct sites (fractional):
Mo 0.0000 0.0000 0.0000 [1 per cell]  3 P 2.44, 3 As 2.59
As 0.3333 0.6667 0.6685 [1 per cell]  3 Mo 2.59, 3 P 2.78
P 0.6667 0.3333 0.2908 [1 per cell]  3 Mo 2.44


(Q)
Compound: MoAsP
Source: Alexandria via LeMat-Bulk
Functional: PBE
Structure: relaxed

Cell: 3.2271 3.2271 8.9666 Å, 90.00 90.00 90.00°
Last column: nearest neighbours and their distance in Å.
Space group I4mm (No. 107)
Symmetry-distinct sites (fractional):
Mo 0.0000 0.0000 0.0000 [2 per cell]  4 P 2.55, 4 As 2.77
As 0.0000 0.0000 0.6747 [2 per cell]  5 P 2.70-2.90, 5 Mo 2.77-2.92
P 0.0000 0.0000 0.3739 [2 per cell]  4 Mo 2.55, 1 As 2.70


Of them, the most stable is (P) and the least stable is (Q).


(P)
Compound: MoAsP
Source: Alexandria via LeMat-Bulk
Functional: PBE
Structure: relaxed

Cell: 5.8999 5.8999 5.8999 Å, 90.00 90.00 90.00°
Last column: nearest neighbours and their distance in Å.
Space group F-43m (No. 216)
Symmetry-distinct sites (fractional):
Mo 0.0000 0.0000 0.0000 [4 per cell]  4 P 2.55
As 0.0000 0.0000 0.5000 [4 per cell]  4 P 2.55
P 0.2500 0.2500 0.7500 [4 per cell]  4 As 2.55, 4 Mo 2.55


(Q)
Compound: MoAsP
Source: Alexandria via LeMat-Bulk
Functional: PBE
Structure: relaxed

Cell: 4.1954 4.1954 3.1892 Å, 90.00 90.00 120.00°
Last column: nearest neighbours and their distance in Å.
Space group P-6m2 (No. 187)
Symmetry-distinct sites (fractional):
Mo 0.0000 0.0000 0.0000 [1 per cell]  3 P 2.42
As 0.3333 0.6667 0.5000 [1 per cell]  6 Mo 2.90, 6 P 2.90, 2 As 3.19
P 0.6667 0.3333 0.0000 [1 per cell]  3 Mo 2.42


(R)
Compound: MoAsP
Source: Alexandria via LeMat-Bulk
Functional: PBE
Structure: relaxed

Cell: 6.9263 6.9351 8.8431 Å, 90.00 90.00 90.00°
Last column: nearest neighbours and their distance in Å.
Space group Fmmm (No. 69)
Symmetry-distinct sites (fractional):
Mo 0.0000 0.2058 0.0000 [8 per cell]  4 P 2.46-2.51, 2 As 2.62
As 0.0000 0.0000 0.2487 [8 per cell]  2 Mo 2.62, 2 P 2.66
P 0.2101 0.0000 0.5000 [8 per cell]  4 Mo 2.46-2.51, 2 As 2.66


(S)
Compound: MoAsP
Source: Alexandria via LeMat-Bulk
Functional: PBE
Structure: relaxed

Cell: 3.3383 4.6427 14.0246 Å, 90.00 90.00 90.00°
Last column: nearest neighbours and their distance in Å.
Space group Fmm2 (No. 42)
Symmetry-distinct sites (fractional):
Mo 0.0000 0.0000 0.0000 [4 per cell]  2 P 2.43, 2 As 2.65
As 0.0000 0.0000 0.3534 [4 per cell]  2 Mo 2.65, 4 As 2.86
P 0.0000 0.0000 0.6263 [4 per cell]  2 Mo 2.43


Of them, the most stable is (Q) and the least stable is (P).


(P)
Compound: MoAs3P
Source: Alexandria via LeMat-Bulk
Functional: PBE
Structure: relaxed

Cell: 4.6609 4.6609 4.6609 Å, 90.00 90.00 90.00°
Last column: nearest neighbours and their distance in Å.
Space group Pm-3m (No. 221)
Symmetry-distinct sites (fractional):
Mo 0.0000 0.0000 0.0000 [1 per cell]  12 As 3.30
As 0.0000 0.5000 0.5000 [3 per cell]  2 P 2.33
P 0.5000 0.5000 0.5000 [1 per cell]  6 As 2.33


(Q)
Compound: MoAs3P
Source: Alexandria via LeMat-Bulk
Functional: PBE
Structure: relaxed

Cell: 4.8530 4.8530 4.8530 Å, 90.00 90.00 90.00°
Last column: nearest neighbours and their distance in Å.
Space group Pm-3m (No. 221)
Symmetry-distinct sites (fractional):
Mo 0.0000 0.0000 0.0000 [1 per cell]  6 As 2.43
As 0.0000 0.0000 0.5000 [3 per cell]  2 Mo 2.43
P 0.5000 0.5000 0.5000 [1 per cell]  12 As 3.43


Of them, the most stable is (Q) and the least stable is (P).


(P)
Compound: MoAsP2S
Source: Alexandria via LeMat-Bulk
Functional: PBE
Structure: relaxed

Cell: 4.8170 4.8170 4.4656 Å, 90.00 90.00 90.00°
Last column: nearest neighbours and their distance in Å.
Space group P4/mmm (No. 123)
Symmetry-distinct sites (fractional):
Mo 0.0000 0.0000 0.0000 [1 per cell]  2 S 2.23, 4 P 2.41
As 0.5000 0.5000 0.5000 [1 per cell]  8 P 3.28, 4 S 3.41
P 0.0000 0.5000 0.0000 [2 per cell]  2 Mo 2.41
S 0.0000 0.0000 0.5000 [1 per cell]  2 Mo 2.23


(Q)
Compound: MoAsP2S
Source: Alexandria via LeMat-Bulk
Functional: PBE
Structure: relaxed

Cell: 4.6063 4.6063 4.6750 Å, 90.00 90.00 90.00°
Last column: nearest neighbours and their distance in Å.
Space group P4/mmm (No. 123)
Symmetry-distinct sites (fractional):
Mo 0.0000 0.0000 0.0000 [1 per cell]  4 S 3.26, 8 P 3.28
As 0.5000 0.5000 0.5000 [1 per cell]  4 P 2.30, 2 S 2.34
P 0.0000 0.5000 0.5000 [2 per cell]  2 As 2.30
S 0.5000 0.5000 0.0000 [1 per cell]  2 As 2.34


Of them, the most stable is (P) and the least stable is (Q).